[1]
A relaxed structure of Cd3Au, computed with GGA-PBE.

Cell: 3.1529 3.1529 8.4548 Å, 90.00 90.00 90.00°
Positions (direct):
Cd: 0.0000 0.0000 0.0000
Cd: 0.5000 0.5000 0.2685
Cd: 0.5000 0.5000 0.7315
Au: 0.0000 0.0000 0.5000

- ΔE_f (meV per atom) = -53
- SG = No. 123
- N(E_F) (states/eV per atom) = 0.4705

---

[2]
A relaxed structure of TmNpGe, computed with GGA-PBE.

Cell: 10.4967 3.7073 8.1251 Å, 90.00 119.18 90.00°
Positions (direct):
Tm: 0.0793 0.0000 0.3315
Tm: 0.4207 0.5000 0.6685
Tm: 0.5793 0.5000 0.3315
Tm: 0.9207 0.0000 0.6685
Np: 0.1881 0.5000 0.0304
Np: 0.3119 0.0000 0.9696
Np: 0.6881 0.0000 0.0304
Np: 0.8119 0.5000 0.9696
Ge: 0.1343 0.5000 0.6473
Ge: 0.3657 0.0000 0.3527
Ge: 0.6343 0.0000 0.6473
Ge: 0.8657 0.5000 0.3527

- ΔE_f (meV per atom) = -322
- SG = No. 12
- N(E_F) (states/eV per atom) = 1.3873

---

[3]
A relaxed structure of SrUSe4, computed with GGA-PBE.

Cell: 8.1932 8.1932 7.4044 Å, 92.24 92.24 45.03°
Positions (direct):
Sr: 0.2352 0.2352 0.2395
Sr: 0.7648 0.7648 0.7605
U: 0.4605 0.4605 0.7716
U: 0.5395 0.5395 0.2284
Se: 0.1407 0.6462 0.0562
Se: 0.2327 0.7673 0.5000
Se: 0.2904 0.2904 0.6454
Se: 0.3538 0.8593 0.9438
Se: 0.6462 0.1407 0.0562
Se: 0.7096 0.7096 0.3546
Se: 0.7673 0.2327 0.5000
Se: 0.8593 0.3538 0.9438

- SG = No. 12
- formation energy (no corrections) (eV/atom) = -1.1491
- N(E_F) (states/eV per atom) = 0.4767

---

[4]
A relaxed structure of Gd2TePd, computed with GGA-PBE.

Cell: 3.7621 3.7621 7.0780 Å, 90.00 90.00 90.00°
Positions (direct):
Gd: 0.0000 0.0000 0.2337
Gd: 0.0000 0.0000 0.7663
Te: 0.5000 0.5000 0.5000
Pd: 0.5000 0.5000 0.0000

- SG = No. 123
- formation energy (no corrections) (eV/atom) = -0.9654
- N(E_F) (states/eV per atom) = 1.3007

---

[5]
A relaxed structure of CaV2ReW, computed with GGA-PBE.

Cell: 4.1435 4.1435 4.8290 Å, 90.00 90.00 90.00°
Positions (direct):
Ca: 0.0000 0.0000 0.0000
V: 0.0000 0.5000 0.0000
V: 0.5000 0.0000 0.0000
Re: 0.5000 0.5000 0.5000
W: 0.0000 0.0000 0.5000

- ΔE_f (meV per atom) = 2586
- SG = No. 123
- N(E_F) (states/eV per atom) = 1.5256

---

[6]
A relaxed structure of NpBr2Cl6, computed with GGA-PBE.

Cell: 10.2780 10.2780 7.4123 Å, 104.21 104.21 79.90°
Positions (direct):
Np: 0.0763 0.9237 0.7500
Np: 0.9237 0.0763 0.2500
Br: 0.3603 0.3599 0.0260
Br: 0.3599 0.3603 0.5260
Br: 0.6401 0.6397 0.4740
Br: 0.6397 0.6401 0.9740
Cl: 0.0231 0.1598 0.6272
Cl: 0.0982 0.6878 0.7903
Cl: 0.1598 0.0231 0.1272
Cl: 0.2445 0.4761 0.2762
Cl: 0.3122 0.9018 0.7097
Cl: 0.4761 0.2445 0.7762
Cl: 0.5239 0.7555 0.2238
Cl: 0.6878 0.0982 0.2903
Cl: 0.7555 0.5239 0.7238
Cl: 0.8402 0.9769 0.8728
Cl: 0.9018 0.3122 0.2097
Cl: 0.9769 0.8402 0.3728

- SG = No. 15
- formation energy (no corrections) (eV/atom) = -0.8957
- N(E_F) (states/eV per atom) = 0.9086

---

Please write out number 6 again, unchanged.
A relaxed structure of NpBr2Cl6, computed with GGA-PBE.

Cell: 10.2780 10.2780 7.4123 Å, 104.21 104.21 79.90°
Positions (direct):
Np: 0.0763 0.9237 0.7500
Np: 0.9237 0.0763 0.2500
Br: 0.3603 0.3599 0.0260
Br: 0.3599 0.3603 0.5260
Br: 0.6401 0.6397 0.4740
Br: 0.6397 0.6401 0.9740
Cl: 0.0231 0.1598 0.6272
Cl: 0.0982 0.6878 0.7903
Cl: 0.1598 0.0231 0.1272
Cl: 0.2445 0.4761 0.2762
Cl: 0.3122 0.9018 0.7097
Cl: 0.4761 0.2445 0.7762
Cl: 0.5239 0.7555 0.2238
Cl: 0.6878 0.0982 0.2903
Cl: 0.7555 0.5239 0.7238
Cl: 0.8402 0.9769 0.8728
Cl: 0.9018 0.3122 0.2097
Cl: 0.9769 0.8402 0.3728

- SG = No. 15
- formation energy (no corrections) (eV/atom) = -0.8957
- N(E_F) (states/eV per atom) = 0.9086